Material: InTe2HI
Method: DFT, GGA-PBE
State: optimized geometry

Output
space-group type: P4/mmm
M_tot: 2.66 μB/f.u.
E above lowest polymorph: 527 meV per atom

Cell: 5.773 5.773 6.105 Å, 90.00 90.00 90.00°
Element x y z (fractional)
In  0.000  0.000  0.000
Te  0.000  0.500  0.000
Te  0.500  0.000  0.000
H  0.500  0.500  0.500
I  0.000  0.000  0.500